Run A
First-principles (PBE-GGA) data for a geometry-optimized TbY3Al structure, as listed in the Alexandria database.

Summary:
Calculated volume, A^3/atom: 29.116

Unit cell a=3.6524 b=8.6112 c=9.7391 alpha=75.66 beta=79.20 gamma=89.98
Element x y z (fractional)
Tb (0.1019, 0.0507, 0.2968)
Tb (0.8981, 0.9493, 0.7032)
Y (0.3026, 0.1893, 0.8951)
Y (0.3166, 0.6141, 0.8670)
Y (0.4992, 0.2816, 0.5022)
Y (0.5008, 0.7184, 0.4978)
Y (0.6834, 0.3859, 0.1330)
Y (0.6974, 0.8107, 0.1049)
Al (0.0935, 0.5560, 0.3129)
Al (0.9065, 0.4440, 0.6871)

***

Run B
First-principles (PBE-GGA) data for a geometry-optimized TbY3Al structure, as listed in the Alexandria database.

Summary:
Calculated volume, A^3/atom: 30.212

Unit cell a=9.3606 b=9.3606 c=7.0654 alpha=97.02 beta=97.02 gamma=96.79
Element x y z (fractional)
Tb (0.0727, 0.7054, 0.8461)
Tb (0.2946, 0.9273, 0.6539)
Tb (0.7054, 0.0727, 0.3461)
Tb (0.9273, 0.2946, 0.1539)
Y (0.0514, 0.1767, 0.6095)
Y (0.1767, 0.0514, 0.1095)
Y (0.2143, 0.5235, 0.4714)
Y (0.2359, 0.4237, 0.9747)
Y (0.4237, 0.2359, 0.4747)
Y (0.4765, 0.7857, 0.0286)
Y (0.5235, 0.2143, 0.9714)
Y (0.5763, 0.7641, 0.5253)
Y (0.7641, 0.5763, 0.0253)
Y (0.7857, 0.4765, 0.5286)
Y (0.8233, 0.9486, 0.8905)
Y (0.9486, 0.8233, 0.3905)
Al (0.2357, 0.7643, 0.2500)
Al (0.4894, 0.5106, 0.7500)
Al (0.5106, 0.4894, 0.2500)
Al (0.7643, 0.2357, 0.7500)

***

Winner for stability: run A